(1)
## YMgS2Cl (PBEsol)

Data for a relaxed YMgS2Cl crystal.

Summary:
E_tot = -25.64 eV for the cell shown
size of the total moment = 0.00 μB/cell
energy relative to the elements, uncorrected = -1.265 eV/atom
V = 103.7 Å³/f.u.

The structure in CIF format:
```
data_YMgS2Cl
_space_group_name_H-M_alt 'P 4/m m m'
_space_group_IT_number 123
_space_group_name_Hall '-P 4 2'
_cell_length_a 4.8139
_cell_length_b 4.8139
_cell_length_c 4.4737
_cell_angle_alpha 90.00
_cell_angle_beta 90.00
_cell_angle_gamma 90.00
loop_
_atom_site_label
_atom_site_type_symbol
_atom_site_fract_x
_atom_site_fract_y
_atom_site_fract_z
Y1 Y 0.0000 0.0000 0.0000
Mg1 Mg 0.5000 0.5000 0.5000
S1 S 0.0000 0.5000 0.5000
Cl1 Cl 0.5000 0.5000 0.0000
```

***

(2)
## MgScCl2 (PBEsol)

Data for a relaxed MgScCl2 crystal.

Summary:
E_tot = -16.99 eV for the cell shown
energy above the most stable polymorph in this dataset = 0.42 eV per formula unit
size of the total moment = 0.00 μB/cell
energy relative to the elements, uncorrected = -1.163 eV/atom
V = 91.4 Å³/f.u.

The structure in CIF format:
```
data_MgScCl2
_space_group_name_H-M_alt 'P 4/m m m'
_space_group_IT_number 123
_space_group_name_Hall '-P 4 2'
_cell_length_a 3.1556
_cell_length_b 3.1556
_cell_length_c 9.1762
_cell_angle_alpha 90.00
_cell_angle_beta 90.00
_cell_angle_gamma 90.00
loop_
_atom_site_label
_atom_site_type_symbol
_atom_site_fract_x
_atom_site_fract_y
_atom_site_fract_z
Mg1 Mg 0.0000 0.0000 0.0000
Sc1 Sc 0.0000 0.0000 0.5000
Cl1 Cl 0.5000 0.5000 0.3366
```

***

(3)
## Mg2ScCl (PBEsol)

Data for a relaxed Mg2ScCl crystal.

Summary:
E_tot = -13.76 eV for the cell shown
energy above the most stable polymorph in this dataset = 0.10 eV per formula unit
size of the total moment = 0.65 μB/cell
energy relative to the elements, uncorrected = -0.427 eV/atom
V = 87.6 Å³/f.u.

The structure in CIF format:
```
data_Mg2ScCl
_space_group_name_H-M_alt 'P 4/m m m'
_space_group_IT_number 123
_space_group_name_Hall '-P 4 2'
_cell_length_a 3.2224
_cell_length_b 3.2224
_cell_length_c 8.4355
_cell_angle_alpha 90.00
_cell_angle_beta 90.00
_cell_angle_gamma 90.00
loop_
_atom_site_label
_atom_site_type_symbol
_atom_site_fract_x
_atom_site_fract_y
_atom_site_fract_z
Mg1 Mg 0.0000 0.0000 0.2369
Sc1 Sc 0.5000 0.5000 0.5000
Cl1 Cl 0.5000 0.5000 0.0000
```